Compound: Li2MgH2N2
Source: the Alexandria database
Functional: GGA-PBEsol
Structure: optimized geometry

Values from the calculation:
SG: Pbcn, No. 60
density of states at the Fermi level: 0.0000 states/eV/atom
total magnetization: 0.0 μB/f.u.
energy: -4.840 eV per atom

Cell lengths 5.0632, 9.5252, 5.1477 Å; angles 90.00, 90.00, 90.00 degrees
Last column: nearest neighbours and their distance in Å.
Fractional positions:
Li 0.0000 0.0100 0.2500  2 H 2.07, 4 N 2.12-2.24
Li 0.0000 0.2544 0.2500  4 N 2.04-2.14, 2 H 2.26
Li 0.0000 0.7456 0.7500  4 N 2.04-2.14, 2 H 2.26
Li 0.0000 0.9900 0.7500  2 H 2.07, 4 N 2.12-2.24
Li 0.5000 0.2456 0.7500  4 N 2.04-2.14, 2 H 2.26
Li 0.5000 0.4900 0.7500  2 H 2.07, 4 N 2.12-2.24
Li 0.5000 0.5100 0.2500  2 H 2.07, 4 N 2.12-2.24
Li 0.5000 0.7544 0.2500  4 N 2.04-2.14, 2 H 2.26
Mg 0.0000 0.2631 0.7500  4 N 2.10
Mg 0.0000 0.7369 0.2500  4 N 2.10
Mg 0.5000 0.2369 0.2500  4 N 2.10
Mg 0.5000 0.7631 0.7500  4 N 2.10
H 0.1628 0.4481 0.0548  1 N 1.04
H 0.1628 0.5519 0.5548  1 N 1.04
H 0.3372 0.0519 0.5548  1 N 1.04
H 0.3372 0.9481 0.0548  1 N 1.04
H 0.6628 0.0519 0.9452  1 N 1.04
H 0.6628 0.9481 0.4452  1 N 1.04
H 0.8372 0.4481 0.4452  1 N 1.04
H 0.8372 0.5519 0.9452  1 N 1.04
N 0.2285 0.1391 0.4984  1 H 1.04
N 0.2285 0.8609 0.9984  1 H 1.04
N 0.2715 0.3609 0.9984  1 H 1.04
N 0.2715 0.6391 0.4984  1 H 1.04
N 0.7285 0.3609 0.5016  1 H 1.04
N 0.7285 0.6391 0.0016  1 H 1.04
N 0.7715 0.1391 0.0016  1 H 1.04
N 0.7715 0.8609 0.5016  1 H 1.04